# 1
Tc2OsSe | GGA-PBE | optimized geometry

* final energy: -8.56 eV/atom
* formation energy from raw total energies: 0.297 eV per atom

Cell lengths 2.8502, 2.8502, 25.6584 Å; angles 90.00, 90.00, 120.00 degrees
Space group R3m (No. 160, hexagonal axes)
One atom of each set of equivalent atoms:
Tc (0.0000, 0.0000, 0.0000) (multiplicity 3)
Tc (0.0000, 0.0000, 0.2471) (multiplicity 3)
Os (0.0000, 0.0000, 0.4994) (multiplicity 3)
Se (0.0000, 0.0000, 0.7440) (multiplicity 3)

# 2
TePb | GGA-PBE | optimized geometry

* final energy: -3.63 eV/atom
* formation energy from raw total energies: -0.208 eV per atom

Cell lengths 10.131, 10.131, 10.131 Å; angles 90.00, 90.00, 90.00 degrees
Space group I-43m (No. 217)
One atom of each set of equivalent atoms:
Te (0.161, 0.161, 0.161) (multiplicity 8)
Pb (0.143, 0.143, 0.857) (multiplicity 8)